Computed, not measured: a crystal of LaTlP relaxed with PBEsol at the SCAN level of DFT.

Properties
For the energy above the most stable polymorph in this dataset, the calculation gives 0 meV per atom. For the density, the calculation gives 6.5 Mg/m³.

a = 6.4323 Å, b = 6.4323 Å, c = 6.4323 Å
α = 142.91°, β = 142.91°, γ = 53.46°
Atoms (fractional coordinates):
La 0.0000 0.0000 0.0000
Tl 0.2792 0.2792 0.0000
P 0.5116 0.5116 0.0000

---

Computed, not measured: a crystal of LaTlP2 relaxed with PBEsol at the SCAN level of DFT.

Properties
For the energy above the most stable polymorph in this dataset, the calculation gives 0 meV per atom. For the density, the calculation gives 6.7 Mg/m³.

a = 3.9642 Å, b = 3.9642 Å, c = 6.3780 Å
α = 90.00°, β = 90.00°, γ = 90.00°
Atoms (fractional coordinates):
La 0.0000 0.0000 0.0000
Tl 0.0000 0.0000 0.5000
P 0.5000 0.5000 0.1748
P 0.5000 0.5000 0.8252

---

Number 1: DFT formation energy -748 meV per atom, magnetic moment 0.0 Bohr magnetons per cell. Number 2: DFT formation energy -696 meV per atom, magnetic moment 0.0 Bohr magnetons per cell.